Computed, not measured: RbHfAs2O8 after structural relaxation at the PBE-GGA level of DFT.

## Properties
formation energy from raw total energies = -1.80 eV per atom
crystal system = trigonal

Unit cell a=5.5080 b=5.5080 c=8.1644 alpha=90.00 beta=90.00 gamma=120.00
Closest atoms and distances in Å follow each position.
Fractional positions:
Rb1 0.0000 0.0000 0.0000  12 O 3.23-3.29
Hf1 0.0000 0.0000 0.5000  6 O 2.07
As1 0.3333 0.6667 0.7190  4 O 1.71
As2 0.6667 0.3333 0.2810  4 O 1.71
O1 0.0969 0.3370 0.6513  1 As 1.71
O2 0.2401 0.9031 0.6513  1 As 1.71
O3 0.3333 0.6667 0.9285  1 As 1.71
O4 0.3370 0.2401 0.3487  1 As 1.71
O5 0.6630 0.7599 0.6513  1 As 1.71
O6 0.6667 0.3333 0.0715  1 As 1.71
O7 0.7599 0.0969 0.3487  1 As 1.71
O8 0.9031 0.6630 0.3487  1 As 1.71

Computed, not measured: SrBPO2 after structural relaxation at the PBE-GGA level of DFT.

## Properties
formation energy from raw total energies = 1.07 eV per atom
crystal system = tetragonal

Unit cell a=4.4168 b=4.4168 c=6.7307 alpha=90.00 beta=90.00 gamma=90.00
Closest atoms and distances in Å follow each position.
Fractional positions:
Sr1 0.0000 0.0000 0.0000  4 O 2.21
B1 0.5000 0.5000 0.5000  4 P 3.12
P1 0.0000 0.0000 0.5000  4 B 3.12, 2 Sr 3.37
O1 0.0000 0.5000 0.0000  2 Sr 2.21
O2 0.5000 0.0000 0.0000  2 Sr 2.21

Computed, not measured: PrMg2Pd after structural relaxation at the PBE-GGA level of DFT.

## Properties
crystal system = orthorhombic
electronic total energy = -15.18 eV/f.u.

Unit cell a=16.0557 b=8.2150 c=5.6999 alpha=90.00 beta=90.00 gamma=90.00
Closest atoms and distances in Å follow each position.
Fractional positions:
Pr1 0.1052 0.2500 0.2439  3 Pd 3.07-3.17, 4 Mg 3.41-3.42
Pr2 0.1377 0.7500 0.0478  3 Pd 2.97-3.14
Pr3 0.3623 0.2500 0.5478  3 Pd 2.97-3.14
Pr4 0.3948 0.7500 0.7439  3 Pd 3.07-3.17, 4 Mg 3.41-3.42
Pr5 0.6052 0.2500 0.2561  3 Pd 3.07-3.17, 4 Mg 3.41-3.42
Pr6 0.6377 0.7500 0.4522  3 Pd 2.97-3.14
Pr7 0.8623 0.2500 0.9522  3 Pd 2.97-3.14
Pr8 0.8948 0.7500 0.7561  3 Pd 3.07-3.17, 4 Mg 3.41-3.42
Mg1 0.0395 0.0553 0.7392  3 Pd 2.81-2.84, 2 Mg 3.12-3.14
Mg2 0.0395 0.4447 0.7392  3 Pd 2.81-2.84, 2 Mg 3.12-3.14
Mg3 0.2121 0.5550 0.5442  3 Pd 2.81-2.83, 1 Mg 3.12
Mg4 0.2121 0.9450 0.5442  3 Pd 2.81-2.83, 1 Mg 3.12
Mg5 0.2879 0.0550 0.0442  3 Pd 2.81-2.83, 1 Mg 3.12
Mg6 0.2879 0.4450 0.0442  3 Pd 2.81-2.83, 1 Mg 3.12
Mg7 0.4605 0.5553 0.2392  3 Pd 2.81-2.84, 2 Mg 3.12-3.14
Mg8 0.4605 0.9447 0.2392  3 Pd 2.81-2.84, 2 Mg 3.12-3.14
Mg9 0.5395 0.0553 0.7608  3 Pd 2.81-2.84, 2 Mg 3.12-3.14
Mg10 0.5395 0.4447 0.7608  3 Pd 2.81-2.84, 2 Mg 3.12-3.14
Mg11 0.7121 0.5550 0.9558  3 Pd 2.81-2.83, 1 Mg 3.12
Mg12 0.7121 0.9450 0.9558  3 Pd 2.81-2.83, 1 Mg 3.12
Mg13 0.7879 0.0550 0.4558  3 Pd 2.81-2.83, 1 Mg 3.12
Mg14 0.7879 0.4450 0.4558  3 Pd 2.81-2.83, 1 Mg 3.12
Mg15 0.9605 0.5553 0.2608  3 Pd 2.81-2.84, 2 Mg 3.12-3.14
Mg16 0.9605 0.9447 0.2608  3 Pd 2.81-2.84, 2 Mg 3.12-3.14
Pd1 0.0687 0.7500 0.5317  6 Mg 2.81-2.82, 2 Pr 2.97-3.07
Pd2 0.1852 0.2500 0.7534  6 Mg 2.81-2.84, 2 Pr 3.08
Pd3 0.3148 0.7500 0.2534  6 Mg 2.81-2.84, 2 Pr 3.08
Pd4 0.4313 0.2500 0.0317  6 Mg 2.81-2.82, 2 Pr 2.97-3.07
Pd5 0.5687 0.7500 0.9683  6 Mg 2.81-2.82, 2 Pr 2.97-3.07
Pd6 0.6852 0.2500 0.7466  6 Mg 2.81-2.84, 2 Pr 3.08
Pd7 0.8148 0.7500 0.2466  6 Mg 2.81-2.84, 2 Pr 3.08
Pd8 0.9313 0.2500 0.4683  6 Mg 2.81-2.82, 2 Pr 2.97-3.07

Computed, not measured: BaReF2 after structural relaxation at the PBE-GGA level of DFT.

## Properties
formation energy from raw total energies = -0.94 eV per atom
crystal system = trigonal

Unit cell a=3.1998 b=3.1998 c=23.8665 alpha=90.00 beta=90.00 gamma=120.00
Closest atoms and distances in Å follow each position.
Fractional positions:
Ba1 0.0000 0.0000 0.0000  6 F 2.64
Ba2 0.3333 0.6667 0.6667  6 F 2.64
Ba3 0.6667 0.3333 0.3333  6 F 2.64
Re1 0.0000 0.0000 0.5000  2 F 2.09
Re2 0.3333 0.6667 0.1667  2 F 2.09
Re3 0.6667 0.3333 0.8333  2 F 2.09
F1 0.0000 0.0000 0.4126  1 Re 2.09
F2 0.0000 0.0000 0.5874  1 Re 2.09
F3 0.3333 0.6667 0.0793  1 Re 2.09
F4 0.3333 0.6667 0.2540  1 Re 2.09
F5 0.6667 0.3333 0.7460  1 Re 2.09
F6 0.6667 0.3333 0.9207  1 Re 2.09